Material: MnBe2Zn
Method: DFT, PBE
State: optimized geometry

abc: 8.1217 8.1217 8.1217
angles: 17.61 17.61 17.61
Positions (direct):
Zn1 0.7500 0.7500 0.7500
Be1 0.9933 0.9933 0.9933
Be2 0.5067 0.5067 0.5067
Mn1 0.2500 0.2500 0.2500

Properties
The space group is R-3m (166). Its density of states at the Fermi level is 1.41 states/eV/cell. The electronic total energy comes out at -17.23 eV per cell.

---

Material: PrPu5Te8
Method: DFT, PBE
State: optimized geometry

abc: 8.1432 8.1432 8.1432
angles: 109.43 109.56 109.43
Positions (direct):
Te1 0.7718 0.2488 0.3728
Te2 0.1240 0.7512 0.5230
Te3 0.1235 0.7532 0.0274
Te4 0.6297 0.9039 0.8765
Te5 0.6272 0.3990 0.8760
Te6 0.9726 0.0961 0.7258
Te7 0.2742 0.2468 0.3703
Te8 0.4770 0.6010 0.2282
Pu1 0.3744 0.1228 0.9972
Pu2 0.7484 0.6229 0.6256
Pu3 0.0028 0.3771 0.1256
Pu4 0.8744 0.8772 0.2516
Pu5 0.5000 0.0000 0.5000
Pr1 0.2500 0.5000 0.7500

Properties
The space group is I-4 (82). Its density of states at the Fermi level is 47.49 states/eV/cell. For the raw formation energy, the calculation gives -1165 meV/atom. The electronic total energy comes out at -117.89 eV per cell.

---

Material: La2HPb2
Method: DFT, PBE
State: optimized geometry

abc: 7.0975 7.0975 5.5578
angles: 90.00 90.00 90.00
Positions (direct):
H1 0.0000 0.0000 0.0000
H2 0.5000 0.5000 0.0000
La1 0.8314 0.6686 0.0000
La2 0.3314 0.8314 0.0000
La3 0.1686 0.3314 0.0000
La4 0.6686 0.1686 0.0000
Pb1 0.6568 0.8432 0.5000
Pb2 0.3432 0.1568 0.5000
Pb3 0.1568 0.6568 0.5000
Pb4 0.8432 0.3432 0.5000

Properties
The space group is P4/mbm (127). The value obtained for the energy above the most stable polymorph in this dataset is 94 meV/atom. Its density of states at the Fermi level is 5.76 states/eV/cell. The electronic total energy comes out at -44.95 eV per cell.

---

Material: KNbI2O
Method: DFT, PBE
State: optimized geometry

abc: 6.0284 6.0284 3.9997
angles: 90.00 90.00 90.00
Positions (direct):
K1 0.5000 0.5000 0.5000
I1 0.0000 0.5000 0.0000
I2 0.5000 0.0000 0.0000
O1 0.0000 0.0000 0.5000
Nb1 0.0000 0.0000 0.0000

Properties
The space group is P4/mmm (123). The value obtained for the energy above the most stable polymorph in this dataset is 0 meV/atom. Its density of states at the Fermi level is 1.42 states/eV/cell. For the raw formation energy, the calculation gives -1137 meV/atom. The electronic total energy comes out at -24.91 eV per cell.

---

Material: LaY4In2
Method: DFT, PBE
State: optimized geometry

abc: 10.7733 6.8916 6.9507
angles: 119.72 90.00 90.00
Positions (direct):
Y1 0.3328 0.9998 0.0000
Y2 0.7500 0.5001 0.5000
Y3 0.8328 0.5002 0.0000
Y4 0.2500 0.9999 0.5000
Y5 0.7500 0.0001 0.5000
Y6 0.1672 0.4998 0.0000
Y7 0.2500 0.4999 0.5000
Y8 0.6672 0.0002 0.0000
In1 0.0000 0.7176 0.4351
In2 0.5000 0.2176 0.4351
In3 0.0000 0.2824 0.5649
In4 0.5000 0.7824 0.5649
La1 0.0000 0.0000 0.0000
La2 0.5000 0.5000 0.0000

Properties
The space group is Fmmm (69). The value obtained for the energy above the most stable polymorph in this dataset is 37 meV/atom. Its density of states at the Fermi level is 20.67 states/eV/cell. The electronic total energy comes out at -74.76 eV per cell.

---

Material: ErZr2Ga6
Method: DFT, PBE
State: optimized geometry

abc: 3.7436 7.2086 7.2086
angles: 120.00 90.00 90.00
Positions (direct):
Ga1 0.5000 0.6646 0.6646
Ga2 0.5000 0.6646 0.0000
Ga3 0.5000 0.0000 0.3354
Ga4 0.5000 0.3354 0.0000
Ga5 0.5000 0.3354 0.3354
Ga6 0.5000 0.0000 0.6646
Er1 0.0000 0.0000 0.0000
Zr1 0.0000 0.6667 0.3333
Zr2 0.0000 0.3333 0.6667

Properties
The space group is P6/mmm (191). The value obtained for the energy above the most stable polymorph in this dataset is 0 meV/atom. Its density of states at the Fermi level is 3.55 states/eV/cell. The electronic total energy comes out at -44.46 eV per cell.

---

Material: TcHg2P
Method: DFT, PBE
State: optimized geometry

abc: 2.9546 2.9546 10.1837
angles: 90.00 90.00 121.52
Positions (direct):
Hg1 0.0000 0.0000 0.2419
Hg2 0.0000 0.0000 0.7581
Tc1 0.5000 0.5000 0.0000
P1 0.5000 0.5000 0.5000

Properties
The space group is Cmmm (65). Its density of states at the Fermi level is 2.90 states/eV/cell. The electronic total energy comes out at -13.29 eV per cell.

---

Material: GdDy2O
Method: DFT, PBE
State: optimized geometry

abc: 3.1820 3.1820 8.7971
angles: 90.00 90.00 90.00
Positions (direct):
Dy1 0.0000 0.0000 0.8263
Dy2 0.0000 0.0000 0.1737
O1 0.5000 0.5000 0.0000
Gd1 0.5000 0.5000 0.5000

Properties
The space group is P4/mmm (123). The value obtained for the energy above the most stable polymorph in this dataset is 394 meV/atom. Its density of states at the Fermi level is 5.12 states/eV/cell. For the raw formation energy, the calculation gives -816 meV/atom. The electronic total energy comes out at -31.51 eV per cell.

---

Material: CaZn2SiIr
Method: DFT, PBE
State: optimized geometry

abc: 3.8906 4.1793 6.1670
angles: 109.81 108.39 90.00
Positions (direct):
Ir1 0.1996 0.6996 0.3992
Si1 0.8242 0.8242 0.6484
Zn1 0.6974 0.1974 0.3949
Zn2 0.0511 0.0511 0.1023
Ca1 0.4397 0.4397 0.8795

Properties
The space group is Imm2 (44). Its density of states at the Fermi level is 2.90 states/eV/cell. For the raw formation energy, the calculation gives -412 meV/atom. The electronic total energy comes out at -20.89 eV per cell.

---

Material: BaLiRh
Method: DFT, PBE
State: optimized geometry

abc: 4.2706 6.4130 6.7998
angles: 117.89 108.32 90.00
Positions (direct):
Rh1 0.1066 0.4786 0.8435
Rh2 0.3379 0.7110 0.3038
Li1 0.7223 0.7811 0.0737
Li2 0.7222 0.4085 0.0736
Ba1 0.0289 0.9006 0.6864
Ba2 0.4155 0.2890 0.4609

Properties
The space group is C2/m (12). The value obtained for the energy above the most stable polymorph in this dataset is 0 meV/atom. Its density of states at the Fermi level is 3.37 states/eV/cell. The electronic total energy comes out at -22.74 eV per cell.

---

Material: Li3CuF7
Method: DFT, PBE
State: optimized geometry

abc: 5.0194 5.0194 5.3529
angles: 75.70 75.70 83.65
Positions (direct):
F1 0.7187 0.7187 0.0109
F2 0.8583 0.2468 0.7533
F3 0.2173 0.2173 0.0963
F4 0.7102 0.1071 0.2593
F5 0.1071 0.7102 0.2593
F6 0.2468 0.8583 0.7533
F7 0.5219 0.5219 0.5299
Li1 0.3989 0.8715 0.3476
Li2 0.8715 0.3989 0.3476
Li3 0.4931 0.4931 0.8887
Cu1 0.9812 0.9812 0.0038

Properties
The space group is Cm (8). Its density of states at the Fermi level is 1.95 states/eV/cell. For the raw formation energy, the calculation gives -2103 meV/atom. The electronic total energy comes out at -46.07 eV per cell.

---

Material: NbZn2F8
Method: DFT, PBE
State: optimized geometry

abc: 4.0113 6.5649 6.5644
angles: 120.01 90.00 90.00
Positions (direct):
Nb1 0.0000 0.0000 0.0000
F1 0.2449 0.6909 0.8448
F2 0.7551 0.8460 0.6908
F3 0.7432 0.3334 0.6667
F4 0.2449 0.1540 0.3092
F5 0.7552 0.8449 0.1540
F6 0.7551 0.3091 0.1552
F7 0.2448 0.1551 0.8460
F8 0.2568 0.6666 0.3333
Zn1 0.7552 0.6667 0.3333
Zn2 0.2448 0.3333 0.6667

Properties
The space group is P-3m1 (164). Its density of states at the Fermi level is 1.71 states/eV/cell. For the raw formation energy, the calculation gives -2478 meV/atom. The electronic total energy comes out at -54.85 eV per cell.